An optimized crystal structure of NdFeSi2, computed with PBE-GGA.

The calculation puts the density of states at the Fermi level at 0.67 states/eV/atom. The final energy comes out at -0.490 Ry per atom. For the uncorrected formation energy, the calculation gives -0.653 eV per atom.

The structure belongs to space group Cmcm (No. 63); the cell edges are 4.092, 16.899 and 4.026 Å and the angles 90.00°, 90.00° and 90.00°. Symmetry generates all atoms from Nd at (0.000, 0.107, 0.250), Fe at (0.000, 0.251, 0.750), Si at (0.000, 0.311, 0.250) and Si at (0.000, 0.462, 0.250).